Below is a relaxed NdHo2Al3Ge2Pt crystal, with properties calculated at the PBE level.

## Properties
SG = No. 38
raw total energy = -5.37 eV/atom

a b c (Å): 4.2637 7.0440 7.0440
angles (deg): 119.93 90.00 90.00
Last column: nearest neighbours and their distance in Å.
Sites, in units of the cell vectors:
1 Al 0.5000 0.7696 0.0030  2 Ge 2.70-2.82, 2 Pt 2.71, 2 Al 2.80-2.85
2 Al 0.5000 0.2289 0.2289  2 Pt 2.63, 2 Al 2.80, 2 Ge 2.82
3 Al 0.5000 0.0030 0.7696  2 Ge 2.70-2.82, 2 Pt 2.71, 2 Al 2.80-2.85
4 Ge 0.5000 0.6691 0.3257  3 Al 2.70-2.82, 4 Ho 2.98-2.99
5 Ge 0.5000 0.3257 0.6691  3 Al 2.70-2.82, 4 Ho 2.98-2.99
6 Ho 0.0000 0.9985 0.4123  1 Pt 2.88, 4 Ge 2.98-2.99
7 Ho 0.0000 0.4123 0.9985  1 Pt 2.88, 4 Ge 2.98-2.99
8 Nd 0.0000 0.5832 0.5832  1 Pt 3.01, 4 Ge 3.05, 6 Al 3.28-3.34
9 Pt 0.0000 0.0098 0.0098  6 Al 2.63-2.71, 2 Ho 2.88